MnTl2SbF after structural relaxation. Source: Alexandria via LeMat-Bulk, functional PBE+U.

Cell: 5.580 5.004 5.580 Å, 90.00 90.00 90.00°
Positions (direct):
Mn (0.000, 0.000, 0.000)
F (0.500, 0.500, 0.500)
Sb (0.000, 0.500, 0.000)
Tl (0.000, 0.000, 0.500)
Tl (0.500, 0.000, 0.000)

Summary:
DFT total energy (eV/f.u.): -18.1
SG: P4/mmm